No. 1
## SmDy2Th (GGA-PBE)

Data for an optimized crystal structure of SmDy2Th.

Geometry as POSCAR:
```
SmDy2Th
1.0
5.0648 0.0000 0.0000
0.0000 5.0648 0.0000
0.0000 0.0000 5.0113
Sm Dy Th
1 2 1
Direct
0.0000 0.0000 0.0000
0.0000 0.5000 0.5000
0.5000 0.0000 0.5000
0.5000 0.5000 0.0000
```

Uncorrected energy, eV per atom: -5.29
Energy of formation from the pure elements, eV per atom: 0.0421
SG: P4/mmm, No. 123
Calculated volume, Å³ per atom: 32.14
M_tot, μB/f.u.: 0.0

=====

No. 2
## InH2Ir (GGA-PBE)

Data for an optimized crystal structure of InH2Ir.

Geometry as POSCAR:
```
InH2Ir
1.0
-1.9790 1.9790 6.0202
1.9790 -1.9790 6.0202
1.9790 1.9790 -6.0202
In H Ir
2 4 2
Direct
0.3750 0.6250 0.7500
0.6250 0.3750 0.2500
0.0000 0.0000 0.0000
0.0000 0.0000 0.5000
0.0000 0.5000 0.0000
0.5000 0.0000 0.5000
0.1250 0.8750 0.2500
0.8750 0.1250 0.7500
```

Uncorrected energy, eV per atom: -4.38
SG: I4_1/amd, No. 141
Calculated volume, Å³ per atom: 11.79
M_tot, μB/f.u.: 0.0

=====

No. 3
## NbNi4Pt3 (GGA-PBE)

Data for an optimized crystal structure of NbNi4Pt3.

Geometry as POSCAR:
```
NbNi4Pt3
1.0
-1.3506 3.3432 6.4151
1.3506 -3.3432 6.4151
1.3506 3.3432 -6.4151
Nb Ni Pt
1 4 3
Direct
0.0000 0.0000 0.0000
0.1723 0.8595 0.3128
0.4533 0.1405 0.3128
0.5467 0.8595 0.6872
0.8277 0.1405 0.6872
0.1853 0.6853 0.5000
0.5000 0.5000 0.0000
0.8147 0.3147 0.5000
```

Uncorrected energy, eV per atom: -6.39
Energy of formation from the pure elements, eV per atom: 0.0202
SG: Immm, No. 71
Calculated volume, Å³ per atom: 14.48
M_tot, μB/f.u.: 0.7

=====

No. 4
## BeBSb (GGA-PBE)

Data for an optimized crystal structure of BeBSb.

Geometry as POSCAR:
```
BeBSb
1.0
3.5526 0.0000 0.0000
-1.1635 4.4564 0.0000
-0.4452 -2.4522 6.5703
Be B Sb
2 2 2
Direct
0.0000 0.0000 0.0000
0.0847 0.5003 0.0002
0.5466 0.2463 0.0012
0.6209 0.6266 0.0009
0.4055 0.7592 0.7146
0.5803 0.0724 0.2869
```

Uncorrected formation energy, eV per atom: 0.33
Uncorrected energy, eV per atom: -4.52
SG: P1, No. 1
Calculated volume, Å³ per atom: 17.34
M_tot, μB/f.u.: 0.0

=====

| no. | Fermi-level density of states (states/eV per atom) |
| --- | --- |
| 1 | 1.288 |
| 2 | 0.419 |
| 3 | 1.596 |
| 4 | 0.356 |